(1)
Entry from Alexandria via LeMat-Bulk: a relaxed structure of Zn2InBr (PBE).

The structure belongs to space group I-42d (No. 122); the cell edges are 6.688, 6.688 and 11.214 Å and the angles 90.00°, 90.00° and 90.00°. The distinct sites, in fractional coordinates, are Zn at (0.240, 0.250, 0.125), In at (0.000, 0.000, 0.000) and Br at (0.000, 0.000, 0.500).

The calculation puts the uncorrected formation energy at 0.1 eV per formula unit. For the energy above the lowest structure with this stoichiometry, the calculation gives 0.65 eV/f.u. For the total energy, the calculation gives -1.72 eV per atom.

=====

(2)
Entry from Alexandria via LeMat-Bulk: a relaxed structure of Zr2ZnW (PBE).

The structure belongs to space group P4/mmm (No. 123); the cell edges are 3.409, 3.409 and 6.559 Å and the angles 90.00°, 90.00° and 90.00°. The distinct sites, in fractional coordinates, are Zr at (0.000, 0.000, 0.243), Zn at (0.500, 0.500, 0.500) and W at (0.500, 0.500, 0.000).

For the total energy, the calculation gives -7.91 eV per atom. Its energy of formation is -80 meV/atom.